(a)
! YURu3, optimized geometry, DFT PBE-GGA; values from VASP
&SYSTEM
  ibrav = 0, nat = 10, ntyp = 3
/
ATOMIC_SPECIES
Y 88.91 Y.upf
U 238.03 U.upf
Ru 101.07 Ru.upf
ATOMIC_POSITIONS crystal
Y 0.253 0.003 0.250
Y 0.747 0.997 0.750
U 0.000 0.500 0.500
U 0.500 0.500 0.000
Ru 0.067 0.317 0.750
Ru 0.310 0.000 0.810
Ru 0.310 0.500 0.310
Ru 0.690 0.000 0.190
Ru 0.690 0.500 0.690
Ru 0.933 0.683 0.250
CELL_PARAMETERS angstrom
-2.916 3.740 4.379
2.916 -3.740 4.379
2.916 3.740 -4.379
! * Fermi-level density of states: 12.50 states/eV per cell
! * space-group type: No. 74


(b)
! YURu3, optimized geometry, DFT PBE-GGA; values from VASP
&SYSTEM
  ibrav = 0, nat = 10, ntyp = 3
/
ATOMIC_SPECIES
Y 88.91 Y.upf
U 238.03 U.upf
Ru 101.07 Ru.upf
ATOMIC_POSITIONS crystal
Y 0.202 0.202 0.076
Y 0.798 0.798 0.924
U 0.499 0.501 0.000
U 0.522 0.478 0.500
Ru 0.166 0.684 0.667
Ru 0.211 0.208 0.725
Ru 0.316 0.834 0.333
Ru 0.698 0.136 0.669
Ru 0.792 0.789 0.275
Ru 0.864 0.302 0.331
CELL_PARAMETERS angstrom
4.829 -2.850 0.000
4.829 2.850 0.000
-4.812 0.000 6.776
! * Fermi-level density of states: 11.16 states/eV per cell
! * space-group type: No. 5


Most stable to least stable: (a), (b)


(a)
! Zr2URu, optimized geometry, DFT PBE-GGA; values from VASP
&SYSTEM
  ibrav = 0, nat = 4, ntyp = 3
/
ATOMIC_SPECIES
Zr 91.22 Zr.upf
U 238.03 U.upf
Ru 101.07 Ru.upf
ATOMIC_POSITIONS crystal
Zr 0.000 0.500 0.000
Zr 0.500 0.000 0.000
U 0.000 0.000 0.500
Ru 0.500 0.500 0.500
CELL_PARAMETERS angstrom
4.943 0.000 0.000
0.000 4.943 0.000
0.000 0.000 3.228
! * Fermi-level density of states: 8.10 states/eV per cell
! * space-group type: No. 123


(b)
! Zr2URu, optimized geometry, DFT PBE-GGA; values from VASP
&SYSTEM
  ibrav = 0, nat = 4, ntyp = 3
/
ATOMIC_SPECIES
Zr 91.22 Zr.upf
U 238.03 U.upf
Ru 101.07 Ru.upf
ATOMIC_POSITIONS crystal
Zr 0.000 0.000 0.211
Zr 0.000 0.000 0.789
U 0.500 0.500 0.500
Ru 0.500 0.500 0.000
CELL_PARAMETERS angstrom
3.214 0.000 0.000
0.000 3.214 0.000
0.000 0.000 7.927
! * Fermi-level density of states: 6.75 states/eV per cell
! * space-group type: No. 123


Most stable to least stable: (b), (a)


(a)
! VRu5, optimized geometry, DFT PBE-GGA; values from VASP
&SYSTEM
  ibrav = 0, nat = 6, ntyp = 2
/
ATOMIC_SPECIES
V 50.94 V.upf
Ru 101.07 Ru.upf
ATOMIC_POSITIONS crystal
V 0.000 0.000 0.000
Ru 0.144 0.856 0.500
Ru 0.313 0.687 0.000
Ru 0.500 0.500 0.500
Ru 0.687 0.313 0.000
Ru 0.856 0.144 0.500
CELL_PARAMETERS angstrom
2.160 -6.813 0.000
2.160 6.813 0.000
0.000 0.000 2.865
! * Fermi-level density of states: 5.99 states/eV per cell
! * space-group type: No. 65


(b)
! VRu5, optimized geometry, DFT PBE-GGA; values from VASP
&SYSTEM
  ibrav = 0, nat = 6, ntyp = 2
/
ATOMIC_SPECIES
V 50.94 V.upf
Ru 101.07 Ru.upf
ATOMIC_POSITIONS crystal
V 0.000 0.000 0.000
Ru 0.161 0.500 0.325
Ru 0.347 0.000 0.685
Ru 0.500 0.500 0.000
Ru 0.653 0.000 0.315
Ru 0.839 0.500 0.675
CELL_PARAMETERS angstrom
4.464 0.000 0.000
0.000 4.467 0.000
-2.242 0.000 4.275
! * Fermi-level density of states: 10.34 states/eV per cell
! * space-group type: No. 10


Most stable to least stable: (a), (b)


(a)
! VRu4, optimized geometry, DFT PBE-GGA; values from VASP
&SYSTEM
  ibrav = 0, nat = 5, ntyp = 2
/
ATOMIC_SPECIES
V 50.94 V.upf
Ru 101.07 Ru.upf
ATOMIC_POSITIONS crystal
V 0.000 0.000 0.000
Ru 0.200 0.200 0.800
Ru 0.406 0.406 0.594
Ru 0.594 0.594 0.406
Ru 0.800 0.800 0.200
CELL_PARAMETERS angstrom
0.000 2.281 11.078
1.405 0.000 11.078
1.405 2.281 0.000
! * Fermi-level density of states: 6.62 states/eV per cell
! * space-group type: No. 69


(b)
! VRu4, optimized geometry, DFT PBE-GGA; values from VASP
&SYSTEM
  ibrav = 0, nat = 5, ntyp = 2
/
ATOMIC_SPECIES
V 50.94 V.upf
Ru 101.07 Ru.upf
ATOMIC_POSITIONS crystal
V 0.000 0.000 0.000
Ru 0.000 0.000 0.500
Ru 0.000 0.500 0.000
Ru 0.500 0.000 0.000
Ru 0.500 0.500 0.500
CELL_PARAMETERS angstrom
4.380 0.000 0.000
0.000 4.380 0.000
0.000 0.000 4.380
! * Fermi-level density of states: 8.71 states/eV per cell
! * space-group type: No. 221


Most stable to least stable: (a), (b)


(a)
! V5Ru, optimized geometry, DFT PBE-GGA; values from VASP
&SYSTEM
  ibrav = 0, nat = 6, ntyp = 2
/
ATOMIC_SPECIES
V 50.94 V.upf
Ru 101.07 Ru.upf
ATOMIC_POSITIONS crystal
V 0.000 0.000 0.000
V 0.167 0.833 0.500
V 0.332 0.668 0.000
V 0.668 0.332 0.000
V 0.833 0.167 0.500
Ru 0.500 0.500 0.500
CELL_PARAMETERS angstrom
2.135 -6.314 0.000
2.135 6.314 0.000
0.000 0.000 2.984
! * Fermi-level density of states: 6.96 states/eV per cell
! * space-group type: No. 65


(b)
! V5Ru, optimized geometry, DFT PBE-GGA; values from VASP
&SYSTEM
  ibrav = 0, nat = 6, ntyp = 2
/
ATOMIC_SPECIES
V 50.94 V.upf
Ru 101.07 Ru.upf
ATOMIC_POSITIONS crystal
V 0.000 0.000 0.000
V 0.164 0.836 0.500
V 0.331 0.669 0.000
V 0.669 0.331 0.000
V 0.836 0.164 0.500
Ru 0.500 0.500 0.500
CELL_PARAMETERS angstrom
2.120 -4.503 0.000
2.120 4.503 0.000
0.000 0.000 4.209
! * Fermi-level density of states: 6.77 states/eV per cell
! * space-group type: No. 65


Most stable to least stable: (b), (a)


(a)
! V2Ru2W, optimized geometry, DFT PBE-GGA; values from VASP
&SYSTEM
  ibrav = 0, nat = 10, ntyp = 3
/
ATOMIC_SPECIES
V 50.94 V.upf
Ru 101.07 Ru.upf
W 183.84 W.upf
ATOMIC_POSITIONS crystal
V 0.164 0.336 0.000
V 0.336 0.836 0.000
V 0.664 0.164 0.000
V 0.836 0.664 0.000
Ru 0.136 0.636 0.500
Ru 0.364 0.136 0.500
Ru 0.636 0.864 0.500
Ru 0.864 0.364 0.500
W 0.000 0.000 0.500
W 0.500 0.500 0.500
CELL_PARAMETERS angstrom
7.195 0.000 0.000
0.000 7.195 0.000
0.000 0.000 2.805
! * Fermi-level density of states: 11.66 states/eV per cell
! * space-group type: No. 127


(b)
! V2Ru2W, optimized geometry, DFT PBE-GGA; values from VASP
&SYSTEM
  ibrav = 0, nat = 10, ntyp = 3
/
ATOMIC_SPECIES
V 50.94 V.upf
Ru 101.07 Ru.upf
W 183.84 W.upf
ATOMIC_POSITIONS crystal
V 0.148 0.352 0.000
V 0.352 0.852 0.000
V 0.648 0.148 0.000
V 0.852 0.648 0.000
Ru 0.153 0.653 0.500
Ru 0.347 0.153 0.500
Ru 0.653 0.847 0.500
Ru 0.847 0.347 0.500
W 0.000 0.000 0.000
W 0.500 0.500 0.000
CELL_PARAMETERS angstrom
7.134 0.000 0.000
0.000 7.134 0.000
0.000 0.000 2.831
! * Fermi-level density of states: 5.79 states/eV per cell
! * space-group type: No. 127


Most stable to least stable: (b), (a)